Record 1
# CsTi2TlCo | Alexandria | PBE | optimized geometry
# E_tot = -0.1200 Ha/atom
# Calculated formation energy = 1.959 eV/atom
data_CsTi2TlCo
_chemical_formula_sum 'Cs1 Ti2 Tl1 Co1'
_space_group_name_H-M_alt 'P 4/m m m'
_space_group_IT_number 123
_space_group_name_Hall '-P 4 2'
_cell_length_a 5.017
_cell_length_b 5.017
_cell_length_c 4.623
_cell_angle_alpha 90.00
_cell_angle_beta 90.00
_cell_angle_gamma 90.00
loop_
_atom_site_label
_atom_site_fract_x
_atom_site_fract_y
_atom_site_fract_z
Cs1 0.000 0.000 0.000
Ti1 0.000 0.500 0.000
Tl1 0.500 0.500 0.500
Co1 0.000 0.000 0.500

Record 2
# Ho2SiN3 | Alexandria | PBE | optimized geometry
# E_tot = -0.2924 Ha/atom
# Energy relative to the elements, uncorrected = -1.365 eV per atom
data_Ho2SiN3
_chemical_formula_sum 'Ho16 Si8 N24'
_space_group_name_H-M_alt 'C 1 2/c 1'
_space_group_IT_number 15
_space_group_name_Hall '-C 2yc'
_cell_length_a 5.232
_cell_length_b 10.330
_cell_length_c 11.266
_cell_angle_alpha 90.00
_cell_angle_beta 92.96
_cell_angle_gamma 90.00
loop_
_atom_site_label
_atom_site_fract_x
_atom_site_fract_y
_atom_site_fract_z
Ho1 0.230 0.200 0.356
Ho2 0.235 0.113 0.930
Si1 0.233 0.500 0.335
N1 0.000 0.004 0.250
N2 0.000 0.411 0.250
N3 0.192 0.334 0.864
N4 0.226 0.098 0.539

Record 3
# Mn2Tl3S4 | Alexandria | PBE | optimized geometry
# E_tot = -0.1863 Ha/atom
# Energy relative to the elements, uncorrected = -0.407 eV per atom
data_Mn2Tl3S4
_chemical_formula_sum 'Mn8 Tl12 S16'
_space_group_name_H-M_alt 'C 1 2/c 1'
_space_group_IT_number 15
_space_group_name_Hall '-C 2yc'
_cell_length_a 14.141
_cell_length_b 10.025
_cell_length_c 6.567
_cell_angle_alpha 90.00
_cell_angle_beta 92.09
_cell_angle_gamma 90.00
loop_
_atom_site_label
_atom_site_fract_x
_atom_site_fract_y
_atom_site_fract_z
Mn1 0.218 0.130 0.435
Tl1 0.000 0.090 0.750
Tl2 0.117 0.363 0.016
S1 0.130 0.312 0.500
S2 0.179 0.068 0.100

Record 4
# TaGa3Ni | Alexandria | PBE | optimized geometry
# Offset from the most stable computed form = 0.0 meV per atom
# E_tot = -0.1787 Ha/atom
# Calculated formation energy = 0.481 eV/atom
data_TaGa3Ni
_chemical_formula_sum 'Ta1 Ga3 Ni1'
_space_group_name_H-M_alt 'P m -3 m'
_space_group_IT_number 221
_space_group_name_Hall '-P 4 2 3'
_cell_length_a 4.441
_cell_length_b 4.441
_cell_length_c 4.441
_cell_angle_alpha 90.00
_cell_angle_beta 90.00
_cell_angle_gamma 90.00
loop_
_atom_site_label
_atom_site_fract_x
_atom_site_fract_y
_atom_site_fract_z
Ta1 0.000 0.000 0.000
Ga1 0.000 0.500 0.500
Ni1 0.500 0.500 0.500

Record 5
# MnPt9Pb2 | Alexandria | PBE | optimized geometry
# E_tot = -0.2238 Ha/atom
# Calculated formation energy = -0.178 eV/atom
data_MnPt9Pb2
_chemical_formula_sum 'Mn1 Pt9 Pb2'
_space_group_name_H-M_alt 'P 4/m m m'
_space_group_IT_number 123
_space_group_name_Hall '-P 4 2'
_cell_length_a 4.054
_cell_length_b 4.054
_cell_length_c 12.284
_cell_angle_alpha 90.00
_cell_angle_beta 90.00
_cell_angle_gamma 90.00
loop_
_atom_site_label
_atom_site_fract_x
_atom_site_fract_y
_atom_site_fract_z
Mn1 0.000 0.000 0.000
Pt1 0.000 0.500 0.153
Pt2 0.000 0.500 0.500
Pt3 0.500 0.500 0.000
Pt4 0.500 0.500 0.330
Pb1 0.000 0.000 0.325

Record 6
# Hg2H2Cl | Alexandria | PBE | optimized geometry
# E_tot = -0.0673 Ha/atom
data_Hg2H2Cl
_chemical_formula_sum 'Hg2 H2 Cl1'
_space_group_name_H-M_alt 'P -1'
_space_group_IT_number 2
_space_group_name_Hall '-P 1'
_cell_length_a 3.667
_cell_length_b 4.059
_cell_length_c 6.859
_cell_angle_alpha 73.27
_cell_angle_beta 89.61
_cell_angle_gamma 89.30
loop_
_atom_site_label
_atom_site_fract_x
_atom_site_fract_y
_atom_site_fract_z
Hg1 0.003 0.345 0.315
H1 0.498 0.666 0.666
Cl1 0.000 0.000 0.000

Record 7
# AgH2N2 | Alexandria | PBE | optimized geometry
# Offset from the most stable computed form = 0.0 meV per atom
# E_tot = -0.1820 Ha/atom
data_AgH2N2
_chemical_formula_sum 'Ag2 H4 N4'
_space_group_name_H-M_alt 'P 4/m b m'
_space_group_IT_number 127
_space_group_name_Hall '-P 4 2ab'
_cell_length_a 5.028
_cell_length_b 5.028
_cell_length_c 6.998
_cell_angle_alpha 90.00
_cell_angle_beta 90.00
_cell_angle_gamma 90.00
loop_
_atom_site_label
_atom_site_fract_x
_atom_site_fract_y
_atom_site_fract_z
Ag1 0.000 0.000 0.000
H1 0.250 0.250 0.000
N1 0.078 0.422 0.500

Record 8
# SmHoGaHg | Alexandria | PBE | optimized geometry
# Offset from the most stable computed form = 0.0 meV per atom
# E_tot = -0.1354 Ha/atom
# Calculated formation energy = -0.529 eV/atom
data_SmHoGaHg
_chemical_formula_sum 'Sm1 Ho1 Ga1 Hg1'
_space_group_name_H-M_alt 'P 4 m m'
_space_group_IT_number 99
_space_group_name_Hall 'P 4 -2'
_cell_length_a 3.635
_cell_length_b 3.635
_cell_length_c 7.527
_cell_angle_alpha 90.00
_cell_angle_beta 90.00
_cell_angle_gamma 90.00
loop_
_atom_site_label
_atom_site_fract_x
_atom_site_fract_y
_atom_site_fract_z
Sm1 0.000 0.000 0.000
Ho1 0.000 0.000 0.529
Ga1 0.500 0.500 0.757
Hg1 0.500 0.500 0.280

Record 9
# Tb2ThCd | Alexandria | PBE | optimized geometry
# Offset from the most stable computed form = 265.1 meV per atom
# E_tot = -0.1582 Ha/atom
# Calculated formation energy = 0.095 eV/atom
data_Tb2ThCd
_chemical_formula_sum 'Tb8 Th4 Cd4'
_space_group_name_H-M_alt 'F m -3 m'
_space_group_IT_number 225
_space_group_name_Hall '-F 4 2 3'
_cell_length_a 7.754
_cell_length_b 7.754
_cell_length_c 7.754
_cell_angle_alpha 90.00
_cell_angle_beta 90.00
_cell_angle_gamma 90.00
loop_
_atom_site_label
_atom_site_fract_x
_atom_site_fract_y
_atom_site_fract_z
Tb1 0.250 0.250 0.250
Th1 0.000 0.000 0.000
Cd1 0.000 0.000 0.500

Record 10
# AlV4Ir | Alexandria | PBE | optimized geometry
# E_tot = -0.3108 Ha/atom
# Calculated formation energy = -0.276 eV/atom
data_AlV4Ir
_chemical_formula_sum 'Al2 V8 Ir2'
_space_group_name_H-M_alt 'C m m m'
_space_group_IT_number 65
_space_group_name_Hall '-C 2 2'
_cell_length_a 4.307
_cell_length_b 8.853
_cell_length_c 4.360
_cell_angle_alpha 90.00
_cell_angle_beta 90.00
_cell_angle_gamma 90.00
loop_
_atom_site_label
_atom_site_fract_x
_atom_site_fract_y
_atom_site_fract_z
Al1 0.000 0.000 0.000
V1 0.000 0.172 0.500
V2 0.000 0.321 0.000
Ir1 0.000 0.500 0.500

Record 11
# Al3Re | Alexandria | PBE | optimized geometry
# E_tot = -0.2196 Ha/atom
# Calculated formation energy = -0.056 eV/atom
data_Al3Re
_chemical_formula_sum 'Al3 Re1'
_space_group_name_H-M_alt 'P 1 2/m 1'
_space_group_IT_number 10
_space_group_name_Hall '-P 2y'
_cell_length_a 2.755
_cell_length_b 4.552
_cell_length_c 4.799
_cell_angle_alpha 90.00
_cell_angle_beta 91.38
_cell_angle_gamma 90.00
loop_
_atom_site_label
_atom_site_fract_x
_atom_site_fract_y
_atom_site_fract_z
Al1 0.000 0.000 0.000
Al2 0.238 0.500 0.746
Re1 0.500 0.000 0.500

Record 12
# LiIn2Pb6 | Alexandria | PBE | optimized geometry
# Offset from the most stable computed form = 46.5 meV per atom
# E_tot = -0.1208 Ha/atom
# Calculated formation energy = 0.007 eV/atom
data_LiIn2Pb6
_chemical_formula_sum 'Li2 In4 Pb12'
_space_group_name_H-M_alt 'P 1 21/c 1'
_space_group_IT_number 14
_space_group_name_Hall '-P 2ybc'
_cell_length_a 7.188
_cell_length_b 7.054
_cell_length_c 10.981
_cell_angle_alpha 90.00
_cell_angle_beta 106.83
_cell_angle_gamma 90.00
loop_
_atom_site_label
_atom_site_fract_x
_atom_site_fract_y
_atom_site_fract_z
Li1 0.000 0.000 0.000
In1 0.037 0.133 0.750
Pb1 0.211 0.124 0.510
Pb2 0.350 0.687 0.467
Pb3 0.413 0.045 0.251

Record 13
# EuPaPd4 | Alexandria | PBE | optimized geometry
# E_tot = -0.2689 Ha/atom
# Calculated formation energy = -0.560 eV/atom
data_EuPaPd4
_chemical_formula_sum 'Eu4 Pa4 Pd16'
_space_group_name_H-M_alt 'F -4 3 m'
_space_group_IT_number 216
_space_group_name_Hall 'F -4 2 3'
_cell_length_a 7.741
_cell_length_b 7.741
_cell_length_c 7.741
_cell_angle_alpha 90.00
_cell_angle_beta 90.00
_cell_angle_gamma 90.00
loop_
_atom_site_label
_atom_site_fract_x
_atom_site_fract_y
_atom_site_fract_z
Eu1 0.000 0.000 0.000
Pa1 0.250 0.250 0.250
Pd1 0.125 0.125 0.625

Record 14
# SrTaIN2 | Alexandria | PBE | optimized geometry
# Offset from the most stable computed form = 2402.1 meV per atom
# E_tot = -0.1519 Ha/atom
# Energy relative to the elements, uncorrected = 2.215 eV per atom
data_SrTaIN2
_chemical_formula_sum 'Sr1 Ta1 I1 N2'
_space_group_name_H-M_alt 'P 4/m m m'
_space_group_IT_number 123
_space_group_name_Hall '-P 4 2'
_cell_length_a 4.378
_cell_length_b 4.378
_cell_length_c 5.929
_cell_angle_alpha 90.00
_cell_angle_beta 90.00
_cell_angle_gamma 90.00
loop_
_atom_site_label
_atom_site_fract_x
_atom_site_fract_y
_atom_site_fract_z
Sr1 0.000 0.000 0.000
Ta1 0.500 0.500 0.500
I1 0.000 0.000 0.500
N1 0.000 0.500 0.000

Record 15
# In4Ga | Alexandria | PBE | optimized geometry
# Offset from the most stable computed form = 254.5 meV per atom
# E_tot = -0.0926 Ha/atom
# Calculated formation energy = 0.277 eV/atom
data_In4Ga
_chemical_formula_sum 'In4 Ga1'
_space_group_name_H-M_alt 'P m -3 m'
_space_group_IT_number 221
_space_group_name_Hall '-P 4 2 3'
_cell_length_a 5.393
_cell_length_b 5.393
_cell_length_c 5.393
_cell_angle_alpha 90.00
_cell_angle_beta 90.00
_cell_angle_gamma 90.00
loop_
_atom_site_label
_atom_site_fract_x
_atom_site_fract_y
_atom_site_fract_z
In1 0.000 0.000 0.000
In2 0.000 0.500 0.500
Ga1 0.500 0.500 0.500

Record 16
# AcCd2Sn | Alexandria | PBE | optimized geometry
# E_tot = -0.1018 Ha/atom
# Calculated formation energy = -0.285 eV/atom
data_AcCd2Sn
_chemical_formula_sum 'Ac3 Cd6 Sn3'
_space_group_name_H-M_alt 'R -3 m'
_space_group_IT_number 166
_space_group_name_Hall '-R 3 2"'
_cell_length_a 4.9432
_cell_length_b 4.9432
_cell_length_c 16.8365
_cell_angle_alpha 90.00
_cell_angle_beta 90.00
_cell_angle_gamma 120.00
loop_
_atom_site_label
_atom_site_fract_x
_atom_site_fract_y
_atom_site_fract_z
Ac1 0.0000 0.0000 0.0000
Cd1 0.0000 0.0000 0.2268
Sn1 0.0000 0.0000 0.5000

Record 17
# Ac2MgNi3Ge4 | Alexandria | PBE | optimized geometry
# E_tot = -0.1892 Ha/atom
# Calculated formation energy = -0.586 eV/atom
data_Ac2MgNi3Ge4
_chemical_formula_sum 'Ac2 Mg1 Ni3 Ge4'
_space_group_name_H-M_alt 'P -4 m 2'
_space_group_IT_number 115
_space_group_name_Hall 'P -4 -2'
_cell_length_a 4.337
_cell_length_b 4.337
_cell_length_c 10.399
_cell_angle_alpha 90.00
_cell_angle_beta 90.00
_cell_angle_gamma 90.00
loop_
_atom_site_label
_atom_site_fract_x
_atom_site_fract_y
_atom_site_fract_z
Ac1 0.000 0.500 0.240
Mg1 0.000 0.000 0.500
Ni1 0.000 0.500 0.886
Ni2 0.500 0.500 0.500
Ge1 0.000 0.000 0.000
Ge2 0.000 0.500 0.646
Ge3 0.500 0.500 0.000

Record 18
# PrHg5Au | Alexandria | PBE | optimized geometry
# E_tot = -0.0599 Ha/atom
# Calculated formation energy = -0.263 eV/atom
data_PrHg5Au
_chemical_formula_sum 'Pr1 Hg5 Au1'
_space_group_name_H-M_alt 'P 4/m m m'
_space_group_IT_number 123
_space_group_name_Hall '-P 4 2'
_cell_length_a 4.975
_cell_length_b 4.975
_cell_length_c 7.288
_cell_angle_alpha 90.00
_cell_angle_beta 90.00
_cell_angle_gamma 90.00
loop_
_atom_site_label
_atom_site_fract_x
_atom_site_fract_y
_atom_site_fract_z
Pr1 0.000 0.000 0.000
Hg1 0.000 0.500 0.288
Hg2 0.500 0.500 0.000
Au1 0.000 0.000 0.500

Record 19
# Sr2SbAs2 | Alexandria | PBE | optimized geometry
# Offset from the most stable computed form = 0.0 meV per atom
# E_tot = -0.1526 Ha/atom
# Energy relative to the elements, uncorrected = -0.796 eV per atom
data_Sr2SbAs2
_chemical_formula_sum 'Sr4 Sb2 As4'
_space_group_name_H-M_alt 'P 4/m b m'
_space_group_IT_number 127
_space_group_name_Hall '-P 4 2ab'
_cell_length_a 8.078
_cell_length_b 8.078
_cell_length_c 4.356
_cell_angle_alpha 90.00
_cell_angle_beta 90.00
_cell_angle_gamma 90.00
loop_
_atom_site_label
_atom_site_fract_x
_atom_site_fract_y
_atom_site_fract_z
Sr1 0.154 0.346 0.000
Sb1 0.000 0.000 0.500
As1 0.156 0.656 0.500

Record 20
# CsInTe2 | Alexandria | PBE | optimized geometry
# E_tot = -0.1094 Ha/atom
# Energy relative to the elements, uncorrected = -0.508 eV per atom
data_CsInTe2
_chemical_formula_sum 'Cs1 In1 Te2'
_space_group_name_H-M_alt 'P 3 m 1'
_space_group_IT_number 156
_space_group_name_Hall 'P 3 -2"'
_cell_length_a 4.4997
_cell_length_b 4.4997
_cell_length_c 9.5892
_cell_angle_alpha 90.00
_cell_angle_beta 90.00
_cell_angle_gamma 120.00
loop_
_atom_site_label
_atom_site_fract_x
_atom_site_fract_y
_atom_site_fract_z
Cs1 0.0000 0.0000 0.0000
In1 0.6667 0.3333 0.5500
Te1 0.0000 0.0000 0.3889
Te2 0.3333 0.6667 0.7269

Record 21
# Ho4Zn3In | Alexandria | PBE | optimized geometry
# Offset from the most stable computed form = 0.0 meV per atom
# E_tot = -0.1279 Ha/atom
# Calculated formation energy = -0.370 eV/atom
data_Ho4Zn3In
_chemical_formula_sum 'Ho4 Zn3 In1'
_space_group_name_H-M_alt 'P 4/m m m'
_space_group_IT_number 123
_space_group_name_Hall '-P 4 2'
_cell_length_a 5.068
_cell_length_b 5.068
_cell_length_c 7.315
_cell_angle_alpha 90.00
_cell_angle_beta 90.00
_cell_angle_gamma 90.00
loop_
_atom_site_label
_atom_site_fract_x
_atom_site_fract_y
_atom_site_fract_z
Ho1 0.000 0.500 0.238
Zn1 0.000 0.000 0.000
Zn2 0.000 0.000 0.500
Zn3 0.500 0.500 0.000
In1 0.500 0.500 0.500

Record 22
# PaCdOsO6 | Alexandria | PBE | optimized geometry
# E_tot = -0.2809 Ha/atom
# Energy relative to the elements, uncorrected = -1.934 eV per atom
data_PaCdOsO6
_chemical_formula_sum 'Pa2 Cd2 Os2 O12'
_space_group_name_H-M_alt 'P -3 1 c'
_space_group_IT_number 163
_space_group_name_Hall '-P 3 2c'
_cell_length_a 5.5402
_cell_length_b 5.5402
_cell_length_c 9.5685
_cell_angle_alpha 90.00
_cell_angle_beta 90.00
_cell_angle_gamma 120.00
loop_
_atom_site_label
_atom_site_fract_x
_atom_site_fract_y
_atom_site_fract_z
Pa1 0.3333 0.6667 0.2500
Cd1 0.0000 0.0000 0.0000
Os1 0.3333 0.6667 0.7500
O1 0.0270 0.3698 0.6370

Record 23
# Rb2SiCI6 | Alexandria | PBE | optimized geometry
# E_tot = -0.0996 Ha/atom
# Energy relative to the elements, uncorrected = -0.122 eV per atom
data_Rb2SiCI6
_chemical_formula_sum 'Rb4 Si2 C2 I12'
_space_group_name_H-M_alt 'I 4/m m m'
_space_group_IT_number 139
_space_group_name_Hall '-I 4 2'
_cell_length_a 7.928
_cell_length_b 7.928
_cell_length_c 11.133
_cell_angle_alpha 90.00
_cell_angle_beta 90.00
_cell_angle_gamma 90.00
loop_
_atom_site_label
_atom_site_fract_x
_atom_site_fract_y
_atom_site_fract_z
Rb1 0.000 0.500 0.250
Si1 0.000 0.000 0.000
C1 0.000 0.000 0.500
I1 0.000 0.000 0.256
I2 0.243 0.243 0.500